[1]
TlCuSn2Cl6: relaxed, PBE.

Results
crystal system	triclinic
formation energy without anion corrections	-83.21	kJ/mol of atoms

```
data_TlCuSn2Cl6
_chemical_formula_sum 'Tl1 Cu1 Sn2 Cl6'
_cell_length_a 7.324
_cell_length_b 7.695
_cell_length_c 9.081
_cell_angle_alpha 60.02
_cell_angle_beta 55.89
_cell_angle_gamma 50.44
_space_group_name_H-M_alt 'P 1'
_space_group_IT_number 1
loop_
_space_group_symop_operation_xyz
'x,y,z'
loop_
_atom_site_label
_atom_site_fract_x
_atom_site_fract_y
_atom_site_fract_z
Cl1 0.283 0.903 0.245
Cl2 0.666 0.160 0.846
Cu1 0.343 0.215 0.140
Sn1 0.008 0.023 0.957
Cl3 0.599 0.232 0.221
Cl4 0.969 0.553 0.205
Tl1 0.752 0.895 0.595
Cl5 0.394 0.785 0.626
Cl6 0.091 0.370 0.743
Sn2 0.558 0.524 0.436
```

[2]
TlCu2SnCl6: relaxed, PBE.

Results
crystal system	monoclinic
formation energy without anion corrections	-69.24	kJ/mol of atoms

```
data_TlCu2SnCl6
_chemical_formula_sum 'Tl2 Cu4 Sn2 Cl12'
_cell_length_a 8.190
_cell_length_b 8.190
_cell_length_c 8.878
_cell_angle_alpha 96.99
_cell_angle_beta 96.99
_cell_angle_gamma 104.11
_space_group_name_H-M_alt 'P 1'
_space_group_IT_number 1
loop_
_space_group_symop_operation_xyz
'x,y,z'
loop_
_atom_site_label
_atom_site_fract_x
_atom_site_fract_y
_atom_site_fract_z
Cl1 0.803 0.817 0.432
Tl1 0.120 0.880 0.250
Cu1 0.221 0.407 0.251
Cl2 0.935 0.443 0.254
Cl3 0.659 0.380 0.565
Cl4 0.197 0.183 0.568
Cu2 0.779 0.593 0.749
Cl5 0.817 0.803 0.932
Cu3 0.407 0.221 0.751
Cl6 0.380 0.659 0.065
Cu4 0.593 0.779 0.249
Cl7 0.183 0.197 0.068
Cl8 0.341 0.620 0.435
Cl9 0.557 0.065 0.246
Sn1 0.385 0.615 0.750
Cl10 0.620 0.341 0.935
Cl11 0.443 0.935 0.754
Tl2 0.880 0.120 0.750
Sn2 0.615 0.385 0.250
Cl12 0.065 0.557 0.746
```

[3]
Tl3Cu2SnCl6: relaxed, PBE.

Results
crystal system	trigonal
formation energy without anion corrections	-60.46	kJ/mol of atoms

```
data_Tl3Cu2SnCl6
_chemical_formula_sum 'Tl3 Cu2 Sn1 Cl6'
_cell_length_a 8.521
_cell_length_b 8.521
_cell_length_c 6.215
_cell_angle_alpha 90.00
_cell_angle_beta 90.00
_cell_angle_gamma 120.00
_space_group_name_H-M_alt 'P 1'
_space_group_IT_number 1
loop_
_space_group_symop_operation_xyz
'x,y,z'
loop_
_atom_site_label
_atom_site_fract_x
_atom_site_fract_y
_atom_site_fract_z
Cl1 0.183 0.817 0.279
Cl2 0.183 0.366 0.279
Cl3 0.366 0.183 0.721
Cl4 0.634 0.817 0.279
Tl1 0.667 0.333 0.251
Tl2 0.000 0.000 0.000
Cu1 0.333 0.667 0.282
Cu2 0.667 0.333 0.718
Sn1 0.000 0.000 0.500
Cl5 0.817 0.634 0.721
Tl3 0.333 0.667 0.749
Cl6 0.817 0.183 0.721
```

[4]
Tl3Cu2SnCl9: relaxed, PBE.

Results
crystal system	trigonal
formation energy without anion corrections	-79.26	kJ/mol of atoms

```
data_Tl3Cu2SnCl9
_chemical_formula_sum 'Tl3 Cu2 Sn1 Cl9'
_cell_length_a 7.113
_cell_length_b 7.113
_cell_length_c 8.797
_cell_angle_alpha 90.00
_cell_angle_beta 90.00
_cell_angle_gamma 120.00
_space_group_name_H-M_alt 'P 1'
_space_group_IT_number 1
loop_
_space_group_symop_operation_xyz
'x,y,z'
loop_
_atom_site_label
_atom_site_fract_x
_atom_site_fract_y
_atom_site_fract_z
Cl1 0.500 0.000 0.000
Tl1 0.333 0.667 0.710
Cu1 0.667 0.333 0.847
Tl2 0.000 0.000 0.000
Cl2 0.000 0.500 0.000
Cl3 0.830 0.659 0.673
Cl4 0.659 0.830 0.327
Cu2 0.333 0.667 0.153
Cl5 0.341 0.170 0.673
Sn1 0.000 0.000 0.500
Cl6 0.170 0.341 0.327
Cl7 0.830 0.170 0.673
Cl8 0.500 0.500 0.000
Tl3 0.667 0.333 0.290
Cl9 0.170 0.830 0.327
```

[5]
TlCuSnCl4: relaxed, PBE.

Results
crystal system	monoclinic
formation energy without anion corrections	-79.88	kJ/mol of atoms

```
data_TlCuSnCl4
_chemical_formula_sum 'Tl2 Cu2 Sn2 Cl8'
_cell_length_a 6.336
_cell_length_b 7.622
_cell_length_c 8.738
_cell_angle_alpha 90.00
_cell_angle_beta 109.59
_cell_angle_gamma 90.00
_space_group_name_H-M_alt 'P 1'
_space_group_IT_number 1
loop_
_space_group_symop_operation_xyz
'x,y,z'
loop_
_atom_site_label
_atom_site_fract_x
_atom_site_fract_y
_atom_site_fract_z
Cl1 0.430 0.750 0.162
Cl2 0.570 0.250 0.838
Cl3 0.996 0.484 0.271
Cl4 0.442 0.750 0.575
Cl5 0.996 0.016 0.271
Sn1 0.214 0.250 0.541
Cu1 0.163 0.750 0.302
Cl6 0.004 0.984 0.729
Cu2 0.837 0.250 0.698
Cl7 0.004 0.516 0.729
Tl1 0.747 0.750 0.943
Cl8 0.558 0.250 0.425
Tl2 0.253 0.250 0.057
Sn2 0.786 0.750 0.459
```

[6]
YCu2SnCl: relaxed, PBE.

Results
crystal system	tetragonal
formation energy without anion corrections	75.74	kJ/mol of atoms

```
data_YCu2SnCl
_chemical_formula_sum 'Y1 Cu2 Sn1 Cl1'
_cell_length_a 5.188
_cell_length_b 6.345
_cell_length_c 5.188
_cell_angle_alpha 90.00
_cell_angle_beta 90.00
_cell_angle_gamma 90.00
_space_group_name_H-M_alt 'P 1'
_space_group_IT_number 1
loop_
_space_group_symop_operation_xyz
'x,y,z'
loop_
_atom_site_label
_atom_site_fract_x
_atom_site_fract_y
_atom_site_fract_z
Cu1 0.000 0.000 0.500
Cu2 0.500 0.000 0.000
Cl1 0.500 0.500 0.500
Sn1 0.000 0.500 0.000
Y1 0.000 0.000 0.000
```

no.,density (Mg/m³)
1,3.74
2,3.89
3,4.55
4,5.08
5,4.41
6,3.60